Below is a relaxed structure of FeAgS2N, with properties calculated at the PBE-GGA level.

Unit cell a=4.7323 b=4.7323 c=3.3973 alpha=90.00 beta=90.00 gamma=90.00
With the nearest neighbours (Å) after each atom.
Element x y z (fractional)
Fe (0.0000, 0.0000, 0.0000)  2 N 1.70
Ag (0.5000, 0.5000, 0.5000)  8 S 2.91
S (0.0000, 0.5000, 0.0000)  2 Fe 2.37
S (0.5000, 0.0000, 0.0000)  2 Fe 2.37
N (0.0000, 0.0000, 0.5000)  2 Fe 1.70

Summary:
Its calculated density is 5.28 g/cm3. The formation energy without anion corrections is 2.21 eV per formula unit.

---

Below is a relaxed structure of Re2NiHg, with properties calculated at the PBE-GGA level.

Unit cell a=2.8005 b=3.8633 c=5.7679 alpha=90.00 beta=90.00 gamma=90.00
With the nearest neighbours (Å) after each atom.
Element x y z (fractional)
Re (0.0000, 0.0000, 0.0000)  6 Re 2.65-2.80, 4 Ni 2.77, 2 Hg 2.83-2.94
Re (0.5000, 0.5000, 0.1987)  1 Ni 2.55, 6 Re 2.65-2.80
Ni (0.5000, 0.5000, 0.7568)  5 Re 2.55-2.77, 4 Hg 2.78, 2 Ni 2.80
Hg (0.0000, 0.0000, 0.5095)  4 Ni 2.78, 2 Hg 2.80, 6 Re 2.83-2.98

Summary:
Its calculated density is 16.81 g/cm3. The value obtained for the formation enthalpy at 0 K is 1.7 eV per formula unit.

---

Below is a relaxed structure of CaPmDyAl, with properties calculated at the PBE-GGA level.

Unit cell a=5.4372 b=5.4372 c=5.4372 alpha=60.00 beta=60.00 gamma=60.00
With the nearest neighbours (Å) after each atom.
Element x y z (fractional)
Ca (0.0000, 0.0000, 0.0000)  4 Dy 3.33, 4 Pm 3.33
Pm (0.7500, 0.7500, 0.7500)  4 Ca 3.33, 4 Al 3.33
Dy (0.2500, 0.2500, 0.2500)  4 Ca 3.33, 4 Al 3.33
Al (0.5000, 0.5000, 0.5000)  4 Dy 3.33, 4 Pm 3.33

Summary:
Its calculated density is 5.47 g/cm3. The value obtained for the formation enthalpy at 0 K is -0.3 eV per formula unit.

---

Below is a relaxed structure of Ag2Pd2Pt, with properties calculated at the PBE-GGA level.

Unit cell a=11.8537 b=11.8537 c=11.8537 alpha=13.71 beta=13.71 gamma=13.71
With the nearest neighbours (Å) after each atom.
Element x y z (fractional)
Ag (0.2015, 0.2015, 0.2015)  9 Ag 2.83-2.95, 3 Pd 2.86
Ag (0.7985, 0.7985, 0.7985)  9 Ag 2.83-2.95, 3 Pd 2.86
Pd (0.3984, 0.3984, 0.3984)  3 Pt 2.81, 6 Pd 2.83, 3 Ag 2.86
Pd (0.6016, 0.6016, 0.6016)  3 Pt 2.81, 6 Pd 2.83, 3 Ag 2.86
Pt (0.0000, 0.0000, 0.0000)  6 Pd 2.81, 6 Pt 2.83

Summary:
Its calculated density is 12.73 g/cm3. The value obtained for the formation enthalpy at 0 K is -0.1 eV per formula unit.

---

Below is a relaxed structure of NdTm2Al6, with properties calculated at the PBE-GGA level.

Unit cell a=7.9054 b=7.9054 c=7.9054 alpha=147.76 beta=126.02 gamma=64.29
With the nearest neighbours (Å) after each atom.
Element x y z (fractional)
Nd (0.0000, 0.0000, 0.0000)  4 Al 3.16
Tm (0.3767, 0.8767, 0.5000)  10 Al 2.91-3.21
Tm (0.6233, 0.1233, 0.5000)  10 Al 2.91-3.21
Al (0.0097, 0.3132, 0.6965)  4 Al 2.65-2.88, 1 Tm 2.91
Al (0.3173, 0.5000, 0.8173)  3 Al 2.62-2.65
Al (0.3833, 0.6868, 0.6965)  4 Al 2.65-2.88, 1 Tm 2.91
Al (0.6167, 0.3132, 0.3035)  4 Al 2.65-2.88, 1 Tm 2.91
Al (0.6827, 0.5000, 0.1827)  3 Al 2.62-2.65
Al (0.9903, 0.6868, 0.3035)  4 Al 2.65-2.88, 1 Tm 2.91

Summary:
Its calculated density is 5.07 g/cm3. The value obtained for the formation enthalpy at 0 K is -2.4 eV per formula unit.

---

Below is a relaxed structure of Hf6C2S3N, with properties calculated at the PBE-GGA level.

Unit cell a=5.8787 b=5.8787 c=6.3053 alpha=98.93 beta=98.93 gamma=119.97
With the nearest neighbours (Å) after each atom.
Element x y z (fractional)
Hf (0.1005, 0.4354, 0.8056)  2 C 2.28, 1 N 2.29
Hf (0.2300, 0.2300, 0.1948)  2 C 2.28, 1 N 2.29
Hf (0.4354, 0.1005, 0.8056)  2 C 2.28, 1 N 2.29
Hf (0.5646, 0.8995, 0.1944)  2 C 2.28, 1 N 2.29
Hf (0.7700, 0.7700, 0.8052)  2 C 2.28, 1 N 2.29
Hf (0.8995, 0.5646, 0.1944)  2 C 2.28, 1 N 2.29
C (0.1664, 0.8336, 0.0000)  6 Hf 2.28
C (0.8336, 0.1664, 0.0000)  6 Hf 2.28
S (0.0000, 0.0000, 0.5000)  6 Hf 2.67-2.69
S (0.3323, 0.6677, 0.5000)  6 Hf 2.67-2.69
S (0.6677, 0.3323, 0.5000)  6 Hf 2.67-2.69
N (0.5000, 0.5000, 0.0000)  6 Hf 2.29

Summary:
Its calculated density is 11.15 g/cm3. The formation energy without anion corrections is -15.96 eV per formula unit.

---

Below is a relaxed structure of CuTeSeI, with properties calculated at the PBE-GGA level.

Unit cell a=4.4981 b=4.4981 c=8.6851 alpha=102.11 beta=102.11 gamma=61.65
With the nearest neighbours (Å) after each atom.
Element x y z (fractional)
Cu (0.0000, 0.0000, 0.0000)  1 Se 2.41, 1 I 2.68
Te (0.4928, 0.4928, 0.3857)  2 Se 2.64
Se (0.0925, 0.0925, 0.2856)  1 Cu 2.41, 2 Te 2.64
I (0.6417, 0.6417, 0.9140)  3 Cu 2.68-2.73

Summary:
Its calculated density is 4.40 g/cm3. The formation energy without anion corrections is 0.16 eV per formula unit.

---

Below is a relaxed structure of Tl8TeSe4, with properties calculated at the PBE-GGA level.

Unit cell a=8.9571 b=8.9571 c=8.7989 alpha=114.23 beta=114.23 gamma=61.16
With the nearest neighbours (Å) after each atom.
Element x y z (fractional)
Tl (0.0969, 0.6654, 0.6862)  3 Se 3.00-3.04, 1 Te 3.17
Tl (0.1346, 0.1346, 0.7521)  3 Se 3.15-3.28
Tl (0.3346, 0.9031, 0.3138)  3 Se 3.00-3.04, 1 Te 3.17
Tl (0.3542, 0.3542, 0.2955)  3 Se 3.12-3.14
Tl (0.6458, 0.6458, 0.7045)  3 Se 3.12-3.14
Tl (0.6654, 0.0969, 0.6862)  3 Se 3.00-3.04, 1 Te 3.17
Tl (0.8654, 0.8654, 0.2479)  3 Se 3.15-3.28
Tl (0.9031, 0.3346, 0.3138)  3 Se 3.00-3.04, 1 Te 3.17
Te (0.0000, 0.0000, 0.0000)  4 Tl 3.17
Se (0.2478, 0.7522, 0.5000)  6 Tl 3.00-3.15
Se (0.2716, 0.2716, 0.5597)  6 Tl 3.00-3.28
Se (0.7284, 0.7284, 0.4403)  6 Tl 3.00-3.28
Se (0.7522, 0.2478, 0.5000)  6 Tl 3.00-3.15

Summary:
Its calculated density is 6.35 g/cm3. The formation energy without anion corrections is -3.83 eV per formula unit.

---

Below is a relaxed structure of Mg6Sc2Cd, with properties calculated at the PBE-GGA level.

Unit cell a=8.8765 b=8.8765 c=3.0419 alpha=90.00 beta=90.00 gamma=120.00
With the nearest neighbours (Å) after each atom.
Element x y z (fractional)
Mg (0.0000, 0.3540, 0.0000)  8 Mg 3.04-3.40, 1 Cd 3.14, 4 Sc 3.25
Mg (0.0000, 0.6961, 0.5000)  8 Mg 3.04-3.40, 2 Cd 3.10, 2 Sc 3.10
Mg (0.3039, 0.3039, 0.5000)  8 Mg 3.04-3.40, 2 Cd 3.10, 2 Sc 3.10
Mg (0.3540, 0.0000, 0.0000)  8 Mg 3.04-3.40, 1 Cd 3.14, 4 Sc 3.25
Mg (0.6460, 0.6460, 0.0000)  8 Mg 3.04-3.40, 1 Cd 3.14, 4 Sc 3.25
Mg (0.6961, 0.0000, 0.5000)  8 Mg 3.04-3.40, 2 Cd 3.10, 2 Sc 3.10
Sc (0.3333, 0.6667, 0.5000)  2 Sc 3.04, 9 Mg 3.10-3.25
Sc (0.6667, 0.3333, 0.5000)  2 Sc 3.04, 9 Mg 3.10-3.25
Cd (0.0000, 0.0000, 0.0000)  2 Cd 3.04, 9 Mg 3.10-3.14

Summary:
Its calculated density is 2.79 g/cm3. The value obtained for the formation enthalpy at 0 K is 0.2 eV per formula unit.

---

Below is a relaxed structure of Tb3Sc5H12, with properties calculated at the PBE-GGA level.

Unit cell a=10.7563 b=10.7563 c=10.7563 alpha=109.47 beta=109.47 gamma=109.47
With the nearest neighbours (Å) after each atom.
Element x y z (fractional)
Tb (0.1250, 0.2500, 0.3750)  8 H 2.24-2.33
Tb (0.1250, 0.3750, 0.7500)  8 H 2.24-2.33
Tb (0.2500, 0.3750, 0.1250)  8 H 2.24-2.33
Tb (0.2500, 0.8750, 0.6250)  8 H 2.24-2.33
Tb (0.3750, 0.1250, 0.2500)  8 H 2.24-2.33
Tb (0.3750, 0.7500, 0.1250)  8 H 2.24-2.33
Tb (0.6250, 0.2500, 0.8750)  8 H 2.24-2.33
Tb (0.6250, 0.8750, 0.7500)  8 H 2.24-2.33
Tb (0.7500, 0.1250, 0.3750)  8 H 2.24-2.33
Tb (0.7500, 0.6250, 0.8750)  8 H 2.24-2.33
Tb (0.8750, 0.6250, 0.2500)  8 H 2.24-2.33
Tb (0.8750, 0.7500, 0.6250)  8 H 2.24-2.33
Sc (0.0000, 0.0000, 0.0000)  6 H 2.05
Sc (0.0000, 0.0000, 0.5000)  6 H 2.05
Sc (0.0000, 0.5000, 0.0000)  6 H 2.05
Sc (0.0000, 0.5000, 0.5000)  6 H 2.05
Sc (0.1250, 0.7500, 0.8750)  4 H 2.03
Sc (0.1250, 0.8750, 0.2500)  4 H 2.03
Sc (0.2500, 0.1250, 0.8750)  4 H 2.03
Sc (0.2500, 0.6250, 0.3750)  4 H 2.03
Sc (0.3750, 0.2500, 0.6250)  4 H 2.03
Sc (0.3750, 0.6250, 0.7500)  4 H 2.03
Sc (0.5000, 0.0000, 0.0000)  6 H 2.05
Sc (0.5000, 0.0000, 0.5000)  6 H 2.05
Sc (0.5000, 0.5000, 0.0000)  6 H 2.05
Sc (0.5000, 0.5000, 0.5000)  6 H 2.05
Sc (0.6250, 0.3750, 0.2500)  4 H 2.03
Sc (0.6250, 0.7500, 0.3750)  4 H 2.03
Sc (0.7500, 0.3750, 0.6250)  4 H 2.03
Sc (0.7500, 0.8750, 0.1250)  4 H 2.03
Sc (0.8750, 0.1250, 0.7500)  4 H 2.03
Sc (0.8750, 0.2500, 0.1250)  4 H 2.03
H (0.0528, 0.2158, 0.1397)  2 Sc 2.03-2.05, 1 Tb 2.24
H (0.0528, 0.3370, 0.9131)  2 Sc 2.03-2.05, 1 Tb 2.24
H (0.0762, 0.7158, 0.6630)  2 Sc 2.03-2.05, 1 Tb 2.24
H (0.0762, 0.8603, 0.4131)  2 Sc 2.03-2.05, 1 Tb 2.24
H (0.0869, 0.6397, 0.4238)  2 Sc 2.03-2.05, 1 Tb 2.24
H (0.0869, 0.9472, 0.6630)  2 Sc 2.03-2.05, 1 Tb 2.24
H (0.1397, 0.0528, 0.2158)  2 Sc 2.03-2.05, 1 Tb 2.24
H (0.1397, 0.5869, 0.9238)  2 Sc 2.03-2.05, 1 Tb 2.24
H (0.1630, 0.2158, 0.5762)  2 Sc 2.03-2.05, 1 Tb 2.24
H (0.1630, 0.4472, 0.5869)  2 Sc 2.03-2.05, 1 Tb 2.24
H (0.2158, 0.1397, 0.0528)  2 Sc 2.03-2.05, 1 Tb 2.24
H (0.2158, 0.5762, 0.1630)  2 Sc 2.03-2.05, 1 Tb 2.24
H (0.2842, 0.3370, 0.9238)  2 Sc 2.03-2.05, 1 Tb 2.24
H (0.2842, 0.4472, 0.3603)  2 Sc 2.03-2.05, 1 Tb 2.24
H (0.3370, 0.9131, 0.0528)  2 Sc 2.03-2.05, 1 Tb 2.24
H (0.3370, 0.9238, 0.2842)  2 Sc 2.03-2.05, 1 Tb 2.24
H (0.3603, 0.2842, 0.4472)  2 Sc 2.03-2.05, 1 Tb 2.24
H (0.3603, 0.5762, 0.9131)  2 Sc 2.03-2.05, 1 Tb 2.24
H (0.4131, 0.0762, 0.8603)  2 Sc 2.03-2.05, 1 Tb 2.24
H (0.4131, 0.8370, 0.5528)  2 Sc 2.03-2.05, 1 Tb 2.24
H (0.4238, 0.0869, 0.6397)  2 Sc 2.03-2.05, 1 Tb 2.24
H (0.4238, 0.8370, 0.7842)  2 Sc 2.03-2.05, 1 Tb 2.24
H (0.4472, 0.3603, 0.2842)  2 Sc 2.03-2.05, 1 Tb 2.24
H (0.4472, 0.5869, 0.1630)  2 Sc 2.03-2.05, 1 Tb 2.24
H (0.5528, 0.4131, 0.8370)  2 Sc 2.03-2.05, 1 Tb 2.24
H (0.5528, 0.6397, 0.7158)  2 Sc 2.03-2.05, 1 Tb 2.24
H (0.5762, 0.1630, 0.2158)  2 Sc 2.03-2.05, 1 Tb 2.24
H (0.5762, 0.9131, 0.3603)  2 Sc 2.03-2.05, 1 Tb 2.24
H (0.5869, 0.1630, 0.4472)  2 Sc 2.03-2.05, 1 Tb 2.24
H (0.5869, 0.9238, 0.1397)  2 Sc 2.03-2.05, 1 Tb 2.24
H (0.6397, 0.4238, 0.0869)  2 Sc 2.03-2.05, 1 Tb 2.24
H (0.6397, 0.7158, 0.5528)  2 Sc 2.03-2.05, 1 Tb 2.24
H (0.6630, 0.0762, 0.7158)  2 Sc 2.03-2.05, 1 Tb 2.24
H (0.6630, 0.0869, 0.9472)  2 Sc 2.03-2.05, 1 Tb 2.24
H (0.7158, 0.5528, 0.6397)  2 Sc 2.03-2.05, 1 Tb 2.24
H (0.7158, 0.6630, 0.0762)  2 Sc 2.03-2.05, 1 Tb 2.24
H (0.7842, 0.4238, 0.8370)  2 Sc 2.03-2.05, 1 Tb 2.24
H (0.7842, 0.8603, 0.9472)  2 Sc 2.03-2.05, 1 Tb 2.24
H (0.8370, 0.5528, 0.4131)  2 Sc 2.03-2.05, 1 Tb 2.24
H (0.8370, 0.7842, 0.4238)  2 Sc 2.03-2.05, 1 Tb 2.24
H (0.8603, 0.4131, 0.0762)  2 Sc 2.03-2.05, 1 Tb 2.24
H (0.8603, 0.9472, 0.7842)  2 Sc 2.03-2.05, 1 Tb 2.24
H (0.9131, 0.0528, 0.3370)  2 Sc 2.03-2.05, 1 Tb 2.24
H (0.9131, 0.3603, 0.5762)  2 Sc 2.03-2.05, 1 Tb 2.24
H (0.9238, 0.1397, 0.5869)  2 Sc 2.03-2.05, 1 Tb 2.24
H (0.9238, 0.2842, 0.3370)  2 Sc 2.03-2.05, 1 Tb 2.24
H (0.9472, 0.6630, 0.0869)  2 Sc 2.03-2.05, 1 Tb 2.24
H (0.9472, 0.7842, 0.8603)  2 Sc 2.03-2.05, 1 Tb 2.24

Summary:
Its calculated density is 4.95 g/cm3.

---

| no. | raw total energy (eV per cell) |
| --- | --- |
| 1 | -25.7 |
| 2 | -29.3 |
| 3 | -15.3 |
| 4 | -22.2 |
| 5 | -38.5 |
| 6 | -114.8 |
| 7 | -12.1 |
| 8 | -39.8 |
| 9 | -22.9 |
| 10 | -382.3 |